(1)
Here is a relaxed structure of CuTcW2 from Alexandria via LeMat-Bulk. Energies are from PBE.

## Properties
E_form = 0.913 eV/atom
crystal system = tetragonal
E above lowest polymorph = 0.716 eV per atom
total magnetization = 0.000 μB/cell
symmetry = No. 122

a = 6.998 Å, b = 6.998 Å, c = 5.619 Å
α = 51.48°, β = 51.48°, γ = 90.00°
Fractional positions:
Cu1 0.500 0.500 0.000
Cu2 0.250 0.750 0.500
Tc1 0.000 0.000 0.000
Tc2 0.750 0.250 0.500
W1 0.639 0.125 0.250
W2 0.111 0.625 0.250
W3 0.375 0.361 0.750
W4 0.875 0.889 0.750

---

(2)
Here is a relaxed structure of Tl2ZnIr from Alexandria via LeMat-Bulk. Energies are from PBE.

## Properties
E_form = 0.504 eV/atom
crystal system = orthorhombic
E above lowest polymorph = 0.386 eV per atom
total magnetization = 0.000 μB/cell
symmetry = No. 47

a = 3.231 Å, b = 5.457 Å, c = 4.653 Å
α = 90.00°, β = 90.00°, γ = 90.00°
Fractional positions:
Ir1 0.000 0.500 0.500
Tl1 0.000 0.000 0.000
Tl2 0.500 0.500 0.000
Zn1 0.500 0.000 0.500

---

(3)
Here is a relaxed structure of Zr5Tc4Os from Alexandria via LeMat-Bulk. Energies are from PBE.

## Properties
E_form = -0.393 eV/atom
crystal system = tetragonal
total magnetization = 0.000 μB/cell
symmetry = No. 123

a = 3.292 Å, b = 3.292 Å, c = 16.459 Å
α = 90.00°, β = 90.00°, γ = 90.00°
Fractional positions:
Zr1 0.500 0.500 0.100
Zr2 0.500 0.500 0.300
Zr3 0.500 0.500 0.500
Zr4 0.500 0.500 0.700
Zr5 0.500 0.500 0.900
Tc1 0.000 0.000 0.200
Tc2 0.000 0.000 0.400
Tc3 0.000 0.000 0.600
Tc4 0.000 0.000 0.800
Os1 0.000 0.000 0.000

---

(4)
Here is a relaxed structure of GaSiC from Alexandria via LeMat-Bulk. Energies are from PBE.

## Properties
crystal system = monoclinic
E above lowest polymorph = 0.181 eV per atom
total magnetization = 0.000 μB/cell
symmetry = No. 12
energy relative to the elements, uncorrected = 0.319 eV/atom

a = 5.526 Å, b = 3.091 Å, c = 10.229 Å
α = 90.00°, β = 96.62°, γ = 90.00°
Fractional positions:
Si1 0.293 0.000 0.465
Si2 0.707 0.000 0.535
Si3 0.293 0.500 0.965
Si4 0.707 0.500 0.035
C1 0.861 0.000 0.980
C2 0.139 0.000 0.020
C3 0.861 0.500 0.480
C4 0.139 0.500 0.520
Ga1 0.205 0.000 0.224
Ga2 0.795 0.000 0.776
Ga3 0.205 0.500 0.724
Ga4 0.795 0.500 0.276

---

(5)
Here is a relaxed structure of CoGe2W from Alexandria via LeMat-Bulk. Energies are from PBE.

## Properties
E_form = 0.305 eV/atom
crystal system = trigonal
E above lowest polymorph = 0.036 eV per atom
total magnetization = 0.421 μB/cell
symmetry = No. 166

a = 2.840 Å, b = 2.840 Å, c = 8.974 Å
α = 80.90°, β = 80.90°, γ = 60.00°
Fractional positions:
Ge1 0.099 0.099 0.704
Ge2 0.901 0.901 0.296
Co1 0.500 0.500 0.500
W1 0.000 0.000 0.000

---

(6)
Here is a relaxed structure of TePb3 from Alexandria via LeMat-Bulk. Energies are from PBE.

## Properties
crystal system = hexagonal
E above lowest polymorph = 0.093 eV per atom
total magnetization = 0.000 μB/cell
symmetry = No. 187
energy relative to the elements, uncorrected = 0.028 eV/atom

a = 3.622 Å, b = 3.622 Å, c = 10.998 Å
α = 90.00°, β = 90.00°, γ = 120.00°
Fractional positions:
Pb1 0.000 0.000 0.988
Pb2 0.000 0.000 0.512
Pb3 0.667 0.333 0.250
Te1 0.667 0.333 0.750

---

(7)
Here is a relaxed structure of K6RbS from Alexandria via LeMat-Bulk. Energies are from PBE.

## Properties
crystal system = monoclinic
total magnetization = 0.000 μB/cell
symmetry = No. 12
energy relative to the elements, uncorrected = -0.348 eV/atom

a = 11.541 Å, b = 8.275 Å, c = 8.275 Å
α = 100.35°, β = 117.74°, γ = 117.74°
Fractional positions:
K1 0.736 0.001 0.651
K2 0.736 0.651 0.001
K3 0.264 0.349 0.999
K4 0.264 0.999 0.349
K5 0.914 0.649 0.649
K6 0.086 0.351 0.351
Rb1 0.500 0.000 0.000
S1 0.000 0.000 0.000

---

(8)
Here is a relaxed structure of Sr2Te2Pd from Alexandria via LeMat-Bulk. Energies are from PBE.

## Properties
crystal system = tetragonal
E above lowest polymorph = 0.025 eV per atom
total magnetization = 0.000 μB/cell
symmetry = No. 127
energy relative to the elements, uncorrected = -1.038 eV/atom

a = 8.410 Å, b = 8.410 Å, c = 4.426 Å
α = 90.00°, β = 90.00°, γ = 90.00°
Fractional positions:
Sr1 0.151 0.651 0.500
Sr2 0.651 0.849 0.500
Sr3 0.849 0.349 0.500
Sr4 0.349 0.151 0.500
Te1 0.338 0.838 0.000
Te2 0.838 0.662 0.000
Te3 0.662 0.162 0.000
Te4 0.162 0.338 0.000
Pd1 0.000 0.000 0.000
Pd2 0.500 0.500 0.000

---

(9)
Here is a relaxed structure of BeFeOs from Alexandria via LeMat-Bulk. Energies are from PBE.

## Properties
E_form = -0.107 eV/atom
crystal system = tetragonal
E above lowest polymorph = 0.001 eV per atom
total magnetization = 0.001 μB/cell
symmetry = No. 107

a = 4.772 Å, b = 4.772 Å, c = 4.772 Å
α = 146.87°, β = 146.87°, γ = 47.55°
Fractional positions:
Be1 0.991 0.991 0.000
Os1 0.663 0.663 0.000
Fe1 0.346 0.346 0.000

---

(10)
Here is a relaxed structure of Cs6K8Pb from Alexandria via LeMat-Bulk. Energies are from PBE.

## Properties
E_form = -0.002 eV/atom
crystal system = trigonal
total magnetization = 0.000 μB/cell
symmetry = No. 148

a = 11.258 Å, b = 11.258 Å, c = 11.258 Å
α = 71.60°, β = 71.60°, γ = 71.60°
Fractional positions:
Cs1 0.168 0.432 0.628
Cs2 0.372 0.832 0.568
Cs3 0.568 0.372 0.832
Cs4 0.432 0.628 0.168
Cs5 0.628 0.168 0.432
Cs6 0.832 0.568 0.372
K1 0.093 0.679 0.964
K2 0.036 0.907 0.321
K3 0.321 0.036 0.907
K4 0.762 0.762 0.762
K5 0.238 0.238 0.238
K6 0.679 0.964 0.093
K7 0.964 0.093 0.679
K8 0.907 0.321 0.036
Pb1 0.000 0.000 0.000

---

(11)
Here is a relaxed structure of La3ZnF from Alexandria via LeMat-Bulk. Energies are from PBE.

## Properties
crystal system = cubic
E above lowest polymorph = 0.000 eV per atom
total magnetization = 0.000 μB/cell
symmetry = No. 221
energy relative to the elements, uncorrected = -1.001 eV/atom

a = 5.090 Å, b = 5.090 Å, c = 5.090 Å
α = 90.00°, β = 90.00°, γ = 90.00°
Fractional positions:
Zn1 0.500 0.500 0.500
F1 0.000 0.000 0.000
La1 0.000 0.500 0.000
La2 0.000 0.000 0.500
La3 0.500 0.000 0.000

---

(12)
Here is a relaxed structure of ScAl2Si from Alexandria via LeMat-Bulk. Energies are from PBE.

## Properties
crystal system = cubic
total magnetization = 0.000 μB/cell
symmetry = No. 216
energy relative to the elements, uncorrected = -0.036 eV/atom

a = 4.640 Å, b = 4.640 Å, c = 4.640 Å
α = 60.00°, β = 60.00°, γ = 60.00°
Fractional positions:
Sc1 0.500 0.500 0.500
Si1 0.750 0.750 0.750
Al1 0.000 0.000 0.000
Al2 0.250 0.250 0.250